Density functional theory data (PBE) for a relaxed Tc2AgPbO8 crystal.

a = 6.7087 Å, b = 6.6556 Å, c = 7.5217 Å
α = 49.01°, β = 63.52°, γ = 59.74°
Fractional positions:
O (0.8589, 0.5418, 0.7405)
O (0.8460, 0.9710, 0.7649)
O (0.1540, 0.0290, 0.2351)
O (0.6525, 0.5269, 0.1680)
Ag (0.5000, 0.5000, 0.5000)
O (0.5819, 0.0290, 0.2351)
Tc (0.6961, 0.7547, 0.8531)
O (0.4181, 0.9710, 0.7649)
Tc (0.3039, 0.2453, 0.1469)
Pb (0.0000, 0.0000, 0.0000)
O (0.3475, 0.4731, 0.8320)
O (0.1411, 0.4582, 0.2595)

Results
For the volume, the calculation gives 215.5 Å³/cell. The calculation puts the raw formation energy at -1.171 eV per atom.

Density functional theory data (PBE) for a relaxed ReAu crystal.

a = 9.5294 Å, b = 9.5294 Å, c = 2.6840 Å
α = 90.00°, β = 90.00°, γ = 120.00°
Fractional positions:
Au (0.7113, 0.9479, 0.7500)
Re (0.5408, 0.3826, 0.2500)
Re (0.3826, 0.8418, 0.7500)
Au (0.7634, 0.7113, 0.2500)
Re (0.4592, 0.6174, 0.7500)
Re (0.8418, 0.4592, 0.2500)
Au (0.2887, 0.0521, 0.2500)
Re (0.6174, 0.1582, 0.2500)
Re (0.1582, 0.5408, 0.7500)
Au (0.0521, 0.7634, 0.7500)
Au (0.9479, 0.2366, 0.2500)
Au (0.2366, 0.2887, 0.7500)

Results
The excess energy over the best structure of this formula in the dataset comes out at 91 kJ/mol of formula units. For the volume, the calculation gives 211.1 Å³/cell. As for the formation energy from the elements: 0.62 eV per atom.

Density functional theory data (PBE) for a relaxed Tb6Nd2In3 crystal.

a = 4.5583 Å, b = 4.5583 Å, c = 17.2545 Å
α = 97.59°, β = 97.59°, γ = 90.00°
Fractional positions:
In (0.8058, 0.8058, 0.6115)
In (0.0000, 0.0000, 0.0000)
Nd (0.5441, 0.5441, 0.0881)
Tb (0.7134, 0.7134, 0.4268)
Nd (0.4559, 0.4559, 0.9119)
Tb (0.2866, 0.2866, 0.5732)
Tb (0.1289, 0.6289, 0.2578)
In (0.1942, 0.1942, 0.3885)
Tb (0.6289, 0.1289, 0.2578)
Tb (0.3711, 0.8711, 0.7422)
Tb (0.8711, 0.3711, 0.7422)

Results
For the volume, the calculation gives 352.2 Å³/cell. As for the formation energy from the elements: -0.02 eV per atom.

Density functional theory data (PBE) for a relaxed Tb3HoSn2C crystal.

a = 4.7858 Å, b = 4.8212 Å, c = 8.7028 Å
α = 106.08°, β = 105.96°, γ = 90.00°
Fractional positions:
Sn (0.6398, 0.6398, 0.2796)
Ho (0.5000, 0.0000, 0.0000)
Tb (0.0000, 0.5000, 0.0000)
Tb (0.8406, 0.8406, 0.6811)
C (0.0000, 0.0000, 0.0000)
Tb (0.1594, 0.1594, 0.3189)
Sn (0.3602, 0.3602, 0.7204)

Results
For the volume, the calculation gives 184.9 Å³/cell. As for the formation energy from the elements: -0.67 eV per atom.

Density functional theory data (PBE) for a relaxed Gd2AlF crystal.

a = 3.6798 Å, b = 3.6798 Å, c = 9.1152 Å
α = 78.35°, β = 78.35°, γ = 60.00°
Last column: magnetic moment on the atom in μB.
Fractional positions:
Gd (0.0839, 0.0839, 0.7483)  6.93
F (0.0000, 0.0000, 0.0000)  -0.01
Gd (0.9161, 0.9161, 0.2517)  6.93
Al (0.5000, 0.5000, 0.5000)  -0.03

Results
For the volume, the calculation gives 103.9 Å³/cell. The calculation puts the raw formation energy at -1.259 eV per atom.

Density functional theory data (PBE) for a relaxed Tm2ZnGe crystal.

a = 3.6484 Å, b = 4.8600 Å, c = 4.8600 Å
α = 90.00°, β = 90.00°, γ = 90.00°
Fractional positions:
Zn (0.5000, 0.5000, 0.5000)
Tm (0.0000, 0.5000, 0.0000)
Tm (0.0000, 0.0000, 0.5000)
Ge (0.5000, 0.0000, 0.0000)

Results
For the volume, the calculation gives 86.2 Å³/cell. As for the formation energy from the elements: -0.52 eV per atom.

Density functional theory data (PBE) for a relaxed MgZn6Ni4 crystal.

a = 6.2933 Å, b = 6.2933 Å, c = 6.2933 Å
α = 87.47°, β = 121.47°, γ = 121.47°
Fractional positions:
Zn (0.3739, 0.4771, 0.4771)
Mg (0.0000, 0.0000, 0.0000)
Ni (0.0000, 0.5937, 0.2640)
Zn (0.5000, 0.0000, 0.5000)
Zn (0.5000, 0.5000, 0.0000)
Zn (0.6261, 0.1032, 0.1032)
Zn (0.0000, 0.5229, 0.8968)
Ni (0.0000, 0.2640, 0.5937)
Ni (0.6702, 0.4063, 0.4063)
Ni (0.3298, 0.7360, 0.7360)
Zn (0.0000, 0.8968, 0.5229)

Results
For the volume, the calculation gives 172.1 Å³/cell. As for the formation energy from the elements: -0.03 eV per atom.

Density functional theory data (PBE) for a relaxed Tc2Ge2Os crystal.

a = 7.0235 Å, b = 7.0235 Å, c = 2.9773 Å
α = 90.00°, β = 90.00°, γ = 90.00°
Fractional positions:
Tc (0.1550, 0.6550, 0.5000)
Os (0.0000, 0.0000, 0.0000)
Ge (0.8547, 0.6453, 0.0000)
Ge (0.1453, 0.3547, 0.0000)
Ge (0.3547, 0.8547, 0.0000)
Os (0.5000, 0.5000, 0.0000)
Tc (0.6550, 0.8450, 0.5000)
Ge (0.6453, 0.1453, 0.0000)
Tc (0.3450, 0.1550, 0.5000)
Tc (0.8450, 0.3450, 0.5000)

Results
For the volume, the calculation gives 146.9 Å³/cell. As for the formation energy from the elements: 0.28 eV per atom.